DFT (PBE) results for La2YTe after structural relaxation.

The structure in CIF format:
```
data_La2YTe
_cell_length_a 9.986
_cell_length_b 3.959
_cell_length_c 7.529
_cell_angle_alpha 90.00
_cell_angle_beta 105.82
_cell_angle_gamma 90.00
_space_group_name_H-M_alt 'P 1 c 1'
_space_group_IT_number 7
_space_group_name_Hall 'P -2yc'
loop_
_atom_site_label
_atom_site_type_symbol
_atom_site_fract_x
_atom_site_fract_y
_atom_site_fract_z
La1 La 0.000 0.159 0.000
La2 La 0.447 0.159 0.787
Y1 Y 0.723 0.494 0.642
Te1 Te 0.223 0.324 0.394
```

Summary:
* formation energy (no corrections): -0.515 eV/atom
* total DFT energy (no corrections): -43.04 eV per cell
* total magnetization: 0.009 μB per formula unit